Record 1
Here is Tc2HgTeRu after structural relaxation from the Alexandria database. Energies are from PBE.

It has space group P4/mmm (No. 123), with a = 5.055 Å, b = 5.055 Å, c = 5.324 Å, α = 90.00°, β = 90.00° and γ = 90.00°. The distinct sites, in fractional coordinates, are Tc at (0.000, 0.500, 0.000), Hg at (0.000, 0.000, 0.000), Te at (0.000, 0.000, 0.500) and Ru at (0.500, 0.500, 0.500).

For the formation energy from raw total energies, the calculation gives 2.62 eV/atom. As for the size of the total moment: 6.6 Bohr magnetons per cell.

***

Record 2
Here is Y2MgGe4Rh3 after structural relaxation from the Alexandria database. Energies are from PBE.

It has space group P-4m2 (No. 115), with a = 4.198 Å, b = 4.198 Å, c = 10.552 Å, α = 90.00°, β = 90.00° and γ = 90.00°. The distinct sites, in fractional coordinates, are Y at (0.000, 0.500, 0.237), Mg at (0.000, 0.000, 0.500), Ge at (0.000, 0.000, 0.000), Ge at (0.000, 0.500, 0.648), Ge at (0.500, 0.500, 0.000), Rh at (0.000, 0.500, 0.878) and Rh at (0.500, 0.500, 0.500).

Its energy relative to the elements is -0.75 eV per atom. As for the size of the total moment: 0.0 Bohr magnetons per cell.